[1]
Ba2AgSe | Alexandria | SCAN | single point on PBEsol structure; mass density = 6.0 g/cm³; D(E_F) = 1.8 states/eV per cell; ΔE_f (raw) = -1136.5 meV/atom
1.0
4.0138 0.0000 0.0000
0.0000 4.0138 0.0000
0.0000 0.0000 7.8665
Ba Ag Se
2 1 1
direct
0.0000 0.0000 0.2381
0.0000 0.0000 0.7619
0.5000 0.5000 0.5000
0.5000 0.5000 0.0000



[2]
BaAg4Se | Alexandria | SCAN | single point on PBEsol structure; mass density = 8.4 g/cm³; ΔE_f (raw) = -333.0 meV/atom
1.0
0.0000 4.0047 4.0047
4.0047 0.0000 4.0047
4.0047 4.0047 0.0000
Ba Ag Se
1 4 1
direct
0.0000 0.0000 0.0000
0.1271 0.6243 0.6243
0.6243 0.1271 0.6243
0.6243 0.6243 0.1271
0.6243 0.6243 0.6243
0.2500 0.2500 0.2500



[3]
BaYAgSe3 | Alexandria | SCAN | single point on PBEsol structure; mass density = 6.1 g/cm³; D(E_F) = 0.0 states/eV per cell; ΔE_f (raw) = -1767.1 meV/atom
1.0
2.1079 -7.0138 0.0000
2.1079 7.0138 0.0000
0.0000 0.0000 10.5849
Ba Y Ag Se
2 2 2 6
direct
0.2487 0.7513 0.7500
0.7513 0.2487 0.2500
0.0000 0.0000 0.0000
0.0000 0.0000 0.5000
0.4690 0.5310 0.2500
0.5310 0.4690 0.7500
0.0790 0.9210 0.2500
0.3628 0.6372 0.0496
0.3628 0.6372 0.4504
0.6372 0.3628 0.5496
0.6372 0.3628 0.9504
0.9210 0.0790 0.7500



[4]
Ba2ZnAgSe | Alexandria | SCAN | single point on PBEsol structure; mass density = 4.8 g/cm³; D(E_F) = 3.8 states/eV per cell; ΔE_f (raw) = -453.3 meV/atom
1.0
6.1649 0.0000 0.0000
0.0000 6.1649 0.0000
0.0000 0.0000 4.7936
Ba Zn Ag Se
2 1 1 1
direct
0.0000 0.5000 0.0000
0.5000 0.0000 0.0000
0.0000 0.0000 0.5000
0.5000 0.5000 0.5000
0.0000 0.0000 0.0000



[5]
Ba2SiAg | Alexandria | SCAN | single point on PBEsol structure; mass density = 5.4 g/cm³; D(E_F) = 2.7 states/eV per cell; ΔE_f (raw) = -197.2 meV/atom
1.0
3.8553 0.0000 0.0000
0.0000 5.7086 0.0000
0.0000 0.0000 5.7364
Ba Si Ag
2 1 1
direct
0.0000 0.0000 0.0000
0.0000 0.5000 0.4792
0.5000 0.5000 0.9723
0.5000 0.0000 0.5118



[6]
Ba2SiAg | Alexandria | SCAN | single point on PBEsol structure; mass density = 5.2 g/cm³; D(E_F) = 3.0 states/eV per cell; ΔE_f (raw) = -305.5 meV/atom
1.0
4.6219 0.0000 0.0000
0.0000 2.5410 5.5505
0.0000 -2.5410 5.5505
Ba Si Ag
2 1 1
direct
0.0000 0.0000 0.0000
0.5000 0.2970 0.2970
0.5000 0.6021 0.6021
0.0000 0.6911 0.6911